Mg2Au: relaxed, PBE-GGA.

Properties
electronic total energy = -2.5358 eV per atom
energy of formation from the pure elements = -0.380 eV per atom

Geometry as CIF:
```
data_Mg2Au
_space_group_name_H-M_alt 'C 1 2/m 1'
_space_group_IT_number 12
_cell_length_a 14.127
_cell_length_b 3.258
_cell_length_c 5.807
_cell_angle_alpha 90.00
_cell_angle_beta 112.86
_cell_angle_gamma 90.00
loop_
_space_group_symop_operation_xyz
'x,y,z'
'-x,-y,-z'
'-x,y,-z'
'x,-y,z'
'x+1/2,y+1/2,z'
'-x+1/2,-y+1/2,-z'
'-x+1/2,y+1/2,-z'
'x+1/2,-y+1/2,z'
loop_
_atom_site_label
_atom_site_type_symbol
_atom_site_fract_x
_atom_site_fract_y
_atom_site_fract_z
Mg1 Mg 0.000 0.000 0.246
Mg2 Mg 0.193 0.500 0.187
Au1 Au 0.135 0.500 0.630
```

KSn2Hg2: relaxed, PBE-GGA.

Properties
electronic total energy = -2.0053 eV per atom
energy of formation from the pure elements = -0.064 eV per atom
E above lowest polymorph = 0.091 eV per atom

Geometry as CIF:
```
data_KSn2Hg2
_space_group_name_H-M_alt 'P 4/m b m'
_space_group_IT_number 127
_space_group_name_Hall '-P 4 2ab'
_cell_length_a 9.009
_cell_length_b 9.009
_cell_length_c 3.587
_cell_angle_alpha 90.00
_cell_angle_beta 90.00
_cell_angle_gamma 90.00
loop_
_atom_site_label
_atom_site_type_symbol
_atom_site_fract_x
_atom_site_fract_y
_atom_site_fract_z
K1 K 0.000 0.000 0.000
Sn1 Sn 0.139 0.361 0.500
Hg1 Hg 0.153 0.653 0.000
```

LaCrGa3: relaxed, PBE-GGA.

Properties
electronic total energy = -3.5735 eV per atom
energy of formation from the pure elements = 1.153 eV per atom
E above lowest polymorph = 1.475 eV per atom

Geometry as CIF:
```
data_LaCrGa3
_space_group_name_H-M_alt 'P m -3 m'
_space_group_IT_number 221
_space_group_name_Hall '-P 4 2 3'
_cell_length_a 5.636
_cell_length_b 5.636
_cell_length_c 5.636
_cell_angle_alpha 90.00
_cell_angle_beta 90.00
_cell_angle_gamma 90.00
loop_
_atom_site_label
_atom_site_type_symbol
_atom_site_fract_x
_atom_site_fract_y
_atom_site_fract_z
La1 La 0.000 0.000 0.000
Cr1 Cr 0.500 0.500 0.500
Ga1 Ga 0.000 0.000 0.500
```

BaAlW2: relaxed, PBE-GGA.

Properties
electronic total energy = -7.4409 eV per atom
energy of formation from the pure elements = 0.452 eV per atom

Geometry as CIF:
```
data_BaAlW2
_space_group_name_H-M_alt 'P 4 m m'
_space_group_IT_number 99
_cell_length_a 3.318
_cell_length_b 3.318
_cell_length_c 8.102
_cell_angle_alpha 90.00
_cell_angle_beta 90.00
_cell_angle_gamma 90.00
loop_
_space_group_symop_operation_xyz
'x,y,z'
'-y,x,z'
'-x,-y,z'
'y,-x,z'
'-x,y,z'
'y,x,z'
'x,-y,z'
'-y,-x,z'
loop_
_atom_site_label
_atom_site_type_symbol
_atom_site_fract_x
_atom_site_fract_y
_atom_site_fract_z
Ba1 Ba 0.000 0.000 0.000
Al1 Al 0.500 0.500 0.668
W1 W 0.000 0.000 0.481
W2 W 0.500 0.500 0.327
```

VCuRh3: relaxed, PBE-GGA.

Properties
electronic total energy = -6.7360 eV per atom
energy of formation from the pure elements = 0.318 eV per atom
E above lowest polymorph = 0.487 eV per atom

Geometry as CIF:
```
data_VCuRh3
_space_group_name_H-M_alt 'P 63/m m c'
_space_group_IT_number 194
_space_group_name_Hall '-P 6c 2c'
_cell_length_a 6.4057
_cell_length_b 6.4057
_cell_length_c 4.2304
_cell_angle_alpha 90.00
_cell_angle_beta 90.00
_cell_angle_gamma 120.00
loop_
_atom_site_label
_atom_site_type_symbol
_atom_site_fract_x
_atom_site_fract_y
_atom_site_fract_z
V1 V 0.3333 0.6667 0.2500
Cu1 Cu 0.0000 0.0000 0.0000
Rh1 Rh 0.1986 0.3972 0.7500
```

K3CdBi2: relaxed, PBE-GGA.

Properties
electronic total energy = -2.2781 eV per atom
energy of formation from the pure elements = -0.283 eV per atom
E above lowest polymorph = 0.000 eV per atom

Geometry as CIF:
```
data_K3CdBi2
_space_group_name_H-M_alt 'I b a m'
_space_group_IT_number 72
_space_group_name_Hall '-I 2 2c'
_cell_length_a 9.297
_cell_length_b 15.164
_cell_length_c 7.450
_cell_angle_alpha 90.00
_cell_angle_beta 90.00
_cell_angle_gamma 90.00
loop_
_atom_site_label
_atom_site_type_symbol
_atom_site_fract_x
_atom_site_fract_y
_atom_site_fract_z
K1 K 0.000 0.000 0.250
K2 K 0.169 0.323 0.000
Cd1 Cd 0.000 0.500 0.250
Bi1 Bi 0.203 0.404 0.500
```

TlTe2I: relaxed, PBE-GGA.

Properties
electronic total energy = -2.3419 eV per atom
formation energy from raw total energies = 0.2080 eV per atom
E above lowest polymorph = 0.162 eV per atom

Geometry as CIF:
```
data_TlTe2I
_space_group_name_H-M_alt 'R -3 m'
_space_group_IT_number 166
_space_group_name_Hall '-R 3 2"'
_cell_length_a 3.3002
_cell_length_b 3.3002
_cell_length_c 45.0982
_cell_angle_alpha 90.00
_cell_angle_beta 90.00
_cell_angle_gamma 120.00
loop_
_atom_site_label
_atom_site_type_symbol
_atom_site_fract_x
_atom_site_fract_y
_atom_site_fract_z
Tl1 Tl 0.0000 0.0000 0.0000
Te1 Te 0.0000 0.0000 0.0720
I1 I 0.0000 0.0000 0.5000
```

ErPuNp2N4: relaxed, PBE-GGA.

Properties
electronic total energy = -11.0229 eV per atom
formation energy from raw total energies = -1.2632 eV per atom

Geometry as CIF:
```
data_ErPuNp2N4
_space_group_name_H-M_alt 'P 1 2/m 1'
_space_group_IT_number 10
_cell_length_a 5.961
_cell_length_b 3.439
_cell_length_c 5.979
_cell_angle_alpha 90.00
_cell_angle_beta 109.42
_cell_angle_gamma 90.00
loop_
_space_group_symop_operation_xyz
'x,y,z'
'-x,-y,-z'
'-x,y,-z'
'x,-y,z'
loop_
_atom_site_label
_atom_site_type_symbol
_atom_site_fract_x
_atom_site_fract_y
_atom_site_fract_z
Er1 Er 0.000 0.000 0.000
Pu1 Pu 0.500 0.500 0.000
Np1 Np 0.000 0.500 0.500
Np2 Np 0.500 0.000 0.500
N1 N 0.241 0.000 0.739
N2 N 0.248 0.500 0.261
```

Question: Look up the electronic total energy of the eighth one.
Answer: -11.0229 eV per atom